The following is a DFT calculation (PBE) of crystalline La3Y4 at its relaxed geometry.

Lattice parameters (Å, degrees): 3.6602 3.6602 35.9333 90.00 90.00 90.00
Closest atoms and distances in Å follow each position.
Space group I4/mmm (No. 139)
Inequivalent atoms, fractional coordinates:
La  0.0000  0.0000  0.0000 [2 per cell]  8 Y 3.66, 4 La 3.66
La  0.0000  0.0000  0.2863 [4 per cell]  8 La 3.66-3.67, 4 Y 3.69
Y  0.0000  0.0000  0.1404 [4 per cell]  8 Y 3.57-3.66, 4 La 3.69
Y  0.0000  0.0000  0.4280 [4 per cell]  8 Y 3.57-3.66, 4 La 3.66

Calculated values
Density (g/cm³): 5.328
Energy relative to the elements (eV per formula unit): 0.2
Relative energy among the computed polymorphs (eV per atom): 0.000